# Mg2CoP2Ir (PBE-GGA, relaxed)
data_Mg2CoP2Ir
_cell_length_a 5.503
_cell_length_b 5.551
_cell_length_c 7.116
_cell_angle_alpha 112.96
_cell_angle_beta 112.75
_cell_angle_gamma 90.00
_space_group_name_H-M_alt 'P 1'
_space_group_IT_number 1
_space_group_name_Hall 'P 1'
loop_
_atom_site_label
_atom_site_type_symbol
_atom_site_fract_x
_atom_site_fract_y
_atom_site_fract_z
Co1 Co 0.500 0.750 0.000
Co2 Co 0.500 0.250 0.000
Ir1 Ir 0.000 0.750 0.000
Ir2 Ir 0.000 0.250 0.000
Mg1 Mg 0.585 0.832 0.665
Mg2 Mg 0.920 0.668 0.335
Mg3 Mg 0.080 0.332 0.665
Mg4 Mg 0.415 0.168 0.335
P1 P 0.388 0.613 0.226
P2 P 0.612 0.387 0.774
P3 P 0.838 0.113 0.226
P4 P 0.162 0.887 0.774
# density = 6.6 Mg/m³
# ΔE_f = -0.5259 eV/atom